{
  "formula": "Sc3TlIn2",
  "functional": "PBE-GGA",
  "state": "optimized geometry",
  "space_group": "P4/mmm (123)",
  "dft_energy_ha_per_atom": -0.17815,
  "formation_energy_ev_per_atom": -0.3747,
  "lattice_angstrom": [[3.228, 0.000, 0.000], [0.000, 3.228, 0.000], [0.000, 0.000, 13.131]],
  "species": ["Sc", "Sc", "Sc", "Tl", "In", "In"],
  "frac_coords": [[0.000, 0.000, 0.000], [0.000, 0.000, 0.331], [0.000, 0.000, 0.669], [0.500, 0.500, 0.500], [0.500, 0.500, 0.166], [0.500, 0.500, 0.834]]
}